The following is a DFT calculation (PBE+U) of MnIr3O after structural relaxation.

Cell lengths 4.4544, 4.4544, 4.4544 Å; angles 90.00, 90.00, 90.00 degrees
Space group Pm-3m (No. 221)
Inequivalent atoms, fractional coordinates:
Mn1 0.0000 0.0000 0.0000 (multiplicity 1)
Ir1 0.0000 0.0000 0.5000 (multiplicity 3)
O1 0.5000 0.5000 0.5000 (multiplicity 1)

Summary:
* mass density: 12.2 Mg/m³
* calculated total energy: -26.21 eV per cell